Tm7TlCd4 after structural relaxation, computed with GGA-PBE.

The structure in CIF format:
```
data_Tm7TlCd4
_cell_length_a 14.546
_cell_length_b 5.698
_cell_length_c 9.314
_cell_angle_alpha 90.00
_cell_angle_beta 121.42
_cell_angle_gamma 90.00
_symmetry_space_group_name_H-M 'C 1 2/m 1'
_symmetry_Int_Tables_number 12
loop_
_symmetry_equiv_pos_as_xyz
'x,y,z'
'-x,-y,-z'
'-x,y,-z'
'x,-y,z'
'x+1/2,y+1/2,z'
'-x+1/2,-y+1/2,-z'
'-x+1/2,y+1/2,-z'
'x+1/2,-y+1/2,z'
loop_
_atom_site_label
_atom_site_fract_x
_atom_site_fract_y
_atom_site_fract_z
_atom_site_occupancy
Tm1 0.000 0.000 0.000 1
Tm2 0.077 0.500 0.421 1
Tm3 0.191 0.500 0.874 1
Tm4 0.246 0.000 0.712 1
Tl1 0.000 0.500 0.000 1
Cd1 0.037 0.000 0.691 1
Cd2 0.184 0.000 0.347 1
```

Results
For the formation energy, the calculation gives -6.5 kJ/mol of atoms. The density of states at the Fermi level comes out at 21.9 states/eV/cell.

=====

Tm3Tl3Cd2 after structural relaxation, computed with GGA-PBE.

The structure in CIF format:
```
data_Tm3Tl3Cd2
_cell_length_a 8.2872
_cell_length_b 8.2872
_cell_length_c 3.5391
_cell_angle_alpha 90.00
_cell_angle_beta 90.00
_cell_angle_gamma 120.00
_symmetry_space_group_name_H-M 'P -6 2 m'
_symmetry_Int_Tables_number 189
_symmetry_space_group_name_Hall 'P -6 -2'
loop_
_atom_site_label
_atom_site_fract_x
_atom_site_fract_y
_atom_site_fract_z
_atom_site_occupancy
Tm1 0.0000 0.6298 0.0000 1
Tl1 0.0000 0.2535 0.5000 1
Cd1 0.3333 0.6667 0.5000 1
```

Results
For the formation energy, the calculation gives -20.8 kJ/mol of atoms. The density of states at the Fermi level comes out at 4.4 states/eV/cell.

=====

Tm3TlCd after structural relaxation, computed with GGA-PBE.

The structure in CIF format:
```
data_Tm3TlCd
_cell_length_a 5.027
_cell_length_b 21.272
_cell_length_c 5.027
_cell_angle_alpha 90.00
_cell_angle_beta 90.00
_cell_angle_gamma 90.00
_symmetry_space_group_name_H-M 'C m c m'
_symmetry_Int_Tables_number 63
_symmetry_space_group_name_Hall '-C 2c 2'
loop_
_atom_site_label
_atom_site_fract_x
_atom_site_fract_y
_atom_site_fract_z
_atom_site_occupancy
Tm1 0.000 0.056 0.250 1
Tm2 0.000 0.250 0.250 1
Tm3 0.000 0.442 0.250 1
Tl1 0.000 0.345 0.750 1
Cd1 0.000 0.153 0.750 1
```

Results
For the formation energy, the calculation gives -23.7 kJ/mol of atoms. The density of states at the Fermi level comes out at 24.3 states/eV/cell.

=====

Tm3TlCd after structural relaxation, computed with GGA-PBE.

The structure in CIF format:
```
data_Tm3TlCd
_cell_length_a 7.425
_cell_length_b 7.425
_cell_length_c 7.425
_cell_angle_alpha 90.00
_cell_angle_beta 90.00
_cell_angle_gamma 90.00
_symmetry_space_group_name_H-M 'P m -3 m'
_symmetry_Int_Tables_number 221
_symmetry_space_group_name_Hall '-P 4 2 3'
loop_
_atom_site_label
_atom_site_fract_x
_atom_site_fract_y
_atom_site_fract_z
_atom_site_occupancy
Tm1 0.000 0.000 0.000 1
Tm2 0.262 0.262 0.262 1
Tl1 0.000 0.000 0.500 1
Cd1 0.000 0.500 0.500 1
```

Results
For the formation energy, the calculation gives -15.6 kJ/mol of atoms. The density of states at the Fermi level comes out at 15.5 states/eV/cell.

=====

Tm4TlCd3 after structural relaxation, computed with GGA-PBE.

The structure in CIF format:
```
data_Tm4TlCd3
_cell_length_a 3.627
_cell_length_b 4.847
_cell_length_c 11.895
_cell_angle_alpha 90.00
_cell_angle_beta 90.00
_cell_angle_gamma 90.00
_symmetry_space_group_name_H-M 'P m m 2'
_symmetry_Int_Tables_number 25
loop_
_symmetry_equiv_pos_as_xyz
'x,y,z'
'-x,-y,z'
'-x,y,z'
'x,-y,z'
loop_
_atom_site_label
_atom_site_fract_x
_atom_site_fract_y
_atom_site_fract_z
_atom_site_occupancy
Tm1 0.000 0.000 0.000 1
Tm2 0.000 0.500 0.317 1
Tm3 0.500 0.000 0.494 1
Tm4 0.500 0.500 0.820 1
Tl1 0.000 0.000 0.736 1
Cd1 0.000 0.500 0.579 1
Cd2 0.500 0.000 0.232 1
Cd3 0.500 0.500 0.083 1
```

Results
For the formation energy, the calculation gives -24.9 kJ/mol of atoms. The density of states at the Fermi level comes out at 6.0 states/eV/cell.

=====

Tm5Tl2Cd after structural relaxation, computed with GGA-PBE.

The structure in CIF format:
```
data_Tm5Tl2Cd
_cell_length_a 4.629
_cell_length_b 11.061
_cell_length_c 17.248
_cell_angle_alpha 90.00
_cell_angle_beta 90.00
_cell_angle_gamma 90.00
_symmetry_space_group_name_H-M 'C m c m'
_symmetry_Int_Tables_number 63
_symmetry_space_group_name_Hall '-C 2c 2'
loop_
_atom_site_label
_atom_site_fract_x
_atom_site_fract_y
_atom_site_fract_z
_atom_site_occupancy
Tm1 0.000 0.044 0.250 1
Tm2 0.000 0.151 0.038 1
Tm3 0.000 0.455 0.098 1
Tl1 0.000 0.260 0.649 1
Cd1 0.000 0.332 0.250 1
```

Results
For the formation energy, the calculation gives -12.1 kJ/mol of atoms. The density of states at the Fermi level comes out at 31.9 states/eV/cell.

=====

Tm3Tl2Cd after structural relaxation, computed with GGA-PBE.

The structure in CIF format:
```
data_Tm3Tl2Cd
_cell_length_a 5.306
_cell_length_b 15.922
_cell_length_c 3.697
_cell_angle_alpha 90.00
_cell_angle_beta 90.00
_cell_angle_gamma 90.00
_symmetry_space_group_name_H-M 'P m m n'
_symmetry_Int_Tables_number 59
loop_
_symmetry_equiv_pos_as_xyz
'x,y,z'
'-x,-y,-z'
'-x+1/2,-y+1/2,z'
'x+1/2,y+1/2,-z'
'x+1/2,-y,-z'
'-x+1/2,y,z'
'-x,y+1/2,-z'
'x,-y+1/2,z'
loop_
_atom_site_label
_atom_site_fract_x
_atom_site_fract_y
_atom_site_fract_z
_atom_site_occupancy
Tm1 0.250 0.084 0.001 1
Tm2 0.250 0.750 0.999 1
Tl1 0.250 0.587 0.500 1
Cd1 0.250 0.250 0.501 1
```

Results
For the formation energy, the calculation gives -29.3 kJ/mol of atoms. The density of states at the Fermi level comes out at 10.0 states/eV/cell.

=====

Tm3Tl2Cd3 after structural relaxation, computed with GGA-PBE.

The structure in CIF format:
```
data_Tm3Tl2Cd3
_cell_length_a 7.5898
_cell_length_b 7.5898
_cell_length_c 4.1611
_cell_angle_alpha 90.00
_cell_angle_beta 90.00
_cell_angle_gamma 120.00
_symmetry_space_group_name_H-M 'P -6 2 m'
_symmetry_Int_Tables_number 189
_symmetry_space_group_name_Hall 'P -6 -2'
loop_
_atom_site_label
_atom_site_fract_x
_atom_site_fract_y
_atom_site_fract_z
_atom_site_occupancy
Tm1 0.0000 0.3978 0.0000 1
Tl1 0.3333 0.6667 0.5000 1
Cd1 0.0000 0.7734 0.5000 1
```

Results
For the formation energy, the calculation gives -19.8 kJ/mol of atoms. The density of states at the Fermi level comes out at 4.2 states/eV/cell.

=====

Tm5Tl8Cd after structural relaxation, computed with GGA-PBE.

The structure in CIF format:
```
data_Tm5Tl8Cd
_cell_length_a 9.295
_cell_length_b 9.295
_cell_length_c 8.999
_cell_angle_alpha 90.00
_cell_angle_beta 90.00
_cell_angle_gamma 90.00
_symmetry_space_group_name_H-M 'I -4'
_symmetry_Int_Tables_number 82
loop_
_symmetry_equiv_pos_as_xyz
'x,y,z'
'y,-x,-z'
'-x,-y,z'
'-y,x,-z'
'x+1/2,y+1/2,z+1/2'
'y+1/2,-x+1/2,-z+1/2'
'-x+1/2,-y+1/2,z+1/2'
'-y+1/2,x+1/2,-z+1/2'
loop_
_atom_site_label
_atom_site_fract_x
_atom_site_fract_y
_atom_site_fract_z
_atom_site_occupancy
Tm1 0.000 0.000 0.000 1
Tm2 0.116 0.710 0.641 1
Tl1 0.063 0.836 0.312 1
Tl2 0.104 0.683 0.982 1
Cd1 0.000 0.500 0.250 1
```

Results
For the formation energy, the calculation gives -11.3 kJ/mol of atoms. The density of states at the Fermi level comes out at 20.2 states/eV/cell.

=====

Tm4Tl7Cd after structural relaxation, computed with GGA-PBE.

The structure in CIF format:
```
data_Tm4Tl7Cd
_cell_length_a 14.961
_cell_length_b 5.433
_cell_length_c 11.425
_cell_angle_alpha 90.00
_cell_angle_beta 130.14
_cell_angle_gamma 90.00
_symmetry_space_group_name_H-M 'C 1 2/m 1'
_symmetry_Int_Tables_number 12
loop_
_symmetry_equiv_pos_as_xyz
'x,y,z'
'-x,-y,-z'
'-x,y,-z'
'x,-y,z'
'x+1/2,y+1/2,z'
'-x+1/2,-y+1/2,-z'
'-x+1/2,y+1/2,-z'
'x+1/2,-y+1/2,z'
loop_
_atom_site_label
_atom_site_fract_x
_atom_site_fract_y
_atom_site_fract_z
_atom_site_occupancy
Tm1 0.095 0.000 0.313 1
Tm2 0.203 0.000 0.854 1
Tl1 0.000 0.000 0.500 1
Tl2 0.060 0.500 0.812 1
Tl3 0.143 0.000 0.083 1
Tl4 0.209 0.500 0.328 1
Cd1 0.000 0.500 0.500 1
```

Results
For the formation energy, the calculation gives -3.5 kJ/mol of atoms. The density of states at the Fermi level comes out at 13.3 states/eV/cell.

=====

Tm4Tl2Cd5 after structural relaxation, computed with GGA-PBE.

The structure in CIF format:
```
data_Tm4Tl2Cd5
_cell_length_a 7.947
_cell_length_b 3.482
_cell_length_c 10.194
_cell_angle_alpha 90.00
_cell_angle_beta 96.22
_cell_angle_gamma 90.00
_symmetry_space_group_name_H-M 'P 1 2/m 1'
_symmetry_Int_Tables_number 10
loop_
_symmetry_equiv_pos_as_xyz
'x,y,z'
'-x,-y,-z'
'-x,y,-z'
'x,-y,z'
loop_
_atom_site_label
_atom_site_fract_x
_atom_site_fract_y
_atom_site_fract_z
_atom_site_occupancy
Tm1 0.170 0.000 0.394 1
Tm2 0.278 0.000 0.938 1
Tl1 0.070 0.500 0.141 1
Cd1 0.188 0.500 0.657 1
Cd2 0.452 0.500 0.204 1
Cd3 0.500 0.500 0.500 1
```

Results
For the formation energy, the calculation gives -19.5 kJ/mol of atoms. The density of states at the Fermi level comes out at 6.9 states/eV/cell.

=====

Tm2Tl5Cd after structural relaxation, computed with GGA-PBE.

The structure in CIF format:
```
data_Tm2Tl5Cd
_cell_length_a 6.592
_cell_length_b 13.276
_cell_length_c 4.759
_cell_angle_alpha 90.00
_cell_angle_beta 90.00
_cell_angle_gamma 90.00
_symmetry_space_group_name_H-M 'P b a m'
_symmetry_Int_Tables_number 55
loop_
_symmetry_equiv_pos_as_xyz
'x,y,z'
'-x,-y,-z'
'-x,-y,z'
'x,y,-z'
'x+1/2,-y+1/2,-z'
'-x+1/2,y+1/2,z'
'-x+1/2,y+1/2,-z'
'x+1/2,-y+1/2,z'
loop_
_atom_site_label
_atom_site_fract_x
_atom_site_fract_y
_atom_site_fract_z
_atom_site_occupancy
Tm1 0.232 0.128 0.000 1
Tl1 0.000 0.000 0.500 1
Tl2 0.021 0.746 0.500 1
Tl3 0.228 0.381 0.000 1
Cd1 0.000 0.500 0.500 1
```

Results
For the formation energy, the calculation gives -17.9 kJ/mol of atoms. The density of states at the Fermi level comes out at 8.1 states/eV/cell.